Below is a relaxed NaCeAgSe3 crystal, with properties calculated at the PBE level.

Cell lengths 8.325, 4.241, 9.366 Å; angles 90.00, 102.39, 90.00 degrees
Positions (direct):
Na: 0.198 0.250 0.246
Na: 0.802 0.750 0.754
Ce: 0.320 0.750 0.834
Ce: 0.680 0.250 0.166
Ag: 0.088 0.250 0.585
Ag: 0.912 0.750 0.415
Se: 0.098 0.250 0.870
Se: 0.258 0.750 0.524
Se: 0.437 0.750 0.154
Se: 0.563 0.250 0.846
Se: 0.742 0.250 0.476
Se: 0.902 0.750 0.130

Computed properties:
Formation energy without anion corrections = -6.9 eV per formula unit
Space group = P2_1/m, No. 11
V = 322.9 Å³ per cell